A geometry-optimized Pr4Y5Sc2 structure, computed with PBE.

Unit cell a=12.061 b=12.061 c=8.616 alpha=94.86 beta=94.86 gamma=16.82
Element x y z (fractional)
Pr (0.039, 0.039, 0.347)
Pr (0.276, 0.276, 0.177)
Pr (0.724, 0.724, 0.823)
Pr (0.961, 0.961, 0.653)
Y (0.129, 0.129, 0.038)
Y (0.182, 0.182, 0.474)
Y (0.500, 0.500, 0.000)
Y (0.818, 0.818, 0.526)
Y (0.871, 0.871, 0.962)
Sc (0.412, 0.412, 0.302)
Sc (0.588, 0.588, 0.698)

## Properties
Its formation energy is 11.32 kJ/mol of atoms.